# 1
Sc3Tl3GeSe8: relaxed, GGA-PBE.

CIF file:
```
data_Sc3Tl3GeSe8
_chemical_formula_sum 'Sc3 Tl3 Ge1 Se8'
_space_group_name_H-M_alt 'P 1'
_space_group_IT_number 1
_cell_length_a 8.961
_cell_length_b 8.961
_cell_length_c 8.961
_cell_angle_alpha 52.05
_cell_angle_beta 52.05
_cell_angle_gamma 52.05
loop_
_space_group_symop_operation_xyz
'x,y,z'
loop_
_atom_site_label
_atom_site_type_symbol
_atom_site_fract_x
_atom_site_fract_y
_atom_site_fract_z
Sc1 Sc 0.000 0.500 0.500
Sc2 Sc 0.500 0.000 0.500
Sc3 Sc 0.500 0.500 0.000
Tl1 Tl 0.000 0.000 0.500
Tl2 Tl 0.000 0.500 0.000
Tl3 Tl 0.500 0.000 0.000
Ge1 Ge 0.000 0.000 0.000
Se1 Se 0.226 0.226 0.738
Se2 Se 0.226 0.738 0.226
Se3 Se 0.262 0.774 0.774
Se4 Se 0.268 0.268 0.268
Se5 Se 0.732 0.732 0.732
Se6 Se 0.738 0.226 0.226
Se7 Se 0.774 0.262 0.774
Se8 Se 0.774 0.774 0.262
```

* formation energy without anion corrections: -1.015 eV per atom
* D(E_F): 3.67 states/eV/cell
* space-group type: R-3m, No. 166
* raw total energy: -4.921 eV per atom


# 2
Sc2Tl3GeSe6: relaxed, GGA-PBE.

CIF file:
```
data_Sc2Tl3GeSe6
_chemical_formula_sum 'Sc2 Tl3 Ge1 Se6'
_space_group_name_H-M_alt 'P 1'
_space_group_IT_number 1
_cell_length_a 9.733
_cell_length_b 9.733
_cell_length_c 8.945
_cell_angle_alpha 110.23
_cell_angle_beta 110.23
_cell_angle_gamma 23.41
loop_
_space_group_symop_operation_xyz
'x,y,z'
loop_
_atom_site_label
_atom_site_type_symbol
_atom_site_fract_x
_atom_site_fract_y
_atom_site_fract_z
Sc1 Sc 0.168 0.168 0.337
Sc2 Sc 0.832 0.832 0.663
Tl1 Tl 0.166 0.166 0.839
Tl2 Tl 0.500 0.500 0.500
Tl3 Tl 0.834 0.834 0.161
Ge1 Ge 0.500 0.500 0.000
Se1 Se 0.013 0.013 0.224
Se2 Se 0.322 0.322 0.444
Se3 Se 0.345 0.345 0.881
Se4 Se 0.655 0.655 0.119
Se5 Se 0.678 0.678 0.556
Se6 Se 0.987 0.987 0.776
```

* formation energy without anion corrections: -0.918 eV per atom
* D(E_F): 3.75 states/eV/cell
* space-group type: C2/m, No. 12
* raw total energy: -4.692 eV per atom


# 3
Y2ScGeSe: relaxed, GGA-PBE.

CIF file:
```
data_Y2ScGeSe
_chemical_formula_sum 'Y2 Sc1 Ge1 Se1'
_space_group_name_H-M_alt 'P 1'
_space_group_IT_number 1
_cell_length_a 5.598
_cell_length_b 5.598
_cell_length_c 4.801
_cell_angle_alpha 90.00
_cell_angle_beta 90.00
_cell_angle_gamma 90.00
loop_
_space_group_symop_operation_xyz
'x,y,z'
loop_
_atom_site_label
_atom_site_type_symbol
_atom_site_fract_x
_atom_site_fract_y
_atom_site_fract_z
Y1 Y 0.000 0.500 0.000
Y2 Y 0.500 0.000 0.000
Sc1 Sc 0.000 0.000 0.000
Ge1 Ge 0.500 0.500 0.500
Se1 Se 0.000 0.000 0.500
```

* formation energy without anion corrections: 0.281 eV per atom
* D(E_F): 5.98 states/eV/cell
* space-group type: P4/mmm, No. 123
* raw total energy: -5.192 eV per atom


# 4
YScGeSe: relaxed, GGA-PBE.

CIF file:
```
data_YScGeSe
_chemical_formula_sum 'Y1 Sc1 Ge1 Se1'
_space_group_name_H-M_alt 'P 1'
_space_group_IT_number 1
_cell_length_a 7.014
_cell_length_b 7.014
_cell_length_c 7.014
_cell_angle_alpha 33.23
_cell_angle_beta 33.23
_cell_angle_gamma 33.23
loop_
_space_group_symop_operation_xyz
'x,y,z'
loop_
_atom_site_label
_atom_site_type_symbol
_atom_site_fract_x
_atom_site_fract_y
_atom_site_fract_z
Y1 Y 0.000 0.000 0.000
Sc1 Sc 0.508 0.508 0.508
Ge1 Ge 0.249 0.249 0.249
Se1 Se 0.759 0.759 0.759
```

* formation energy without anion corrections: -1.316 eV per atom
* D(E_F): 0.85 states/eV/cell
* space-group type: R3m, No. 160
* raw total energy: -6.540 eV per atom


# 5
ZrScGeSe2: relaxed, GGA-PBE.

CIF file:
```
data_ZrScGeSe2
_chemical_formula_sum 'Zr1 Sc1 Ge1 Se2'
_space_group_name_H-M_alt 'P 1'
_space_group_IT_number 1
_cell_length_a 5.047
_cell_length_b 5.047
_cell_length_c 5.070
_cell_angle_alpha 90.00
_cell_angle_beta 90.00
_cell_angle_gamma 90.00
loop_
_space_group_symop_operation_xyz
'x,y,z'
loop_
_atom_site_label
_atom_site_type_symbol
_atom_site_fract_x
_atom_site_fract_y
_atom_site_fract_z
Zr1 Zr 0.000 0.000 0.000
Sc1 Sc 0.500 0.500 0.000
Ge1 Ge 0.000 0.000 0.500
Se1 Se 0.000 0.500 0.500
Se2 Se 0.500 0.000 0.500
```

* formation energy without anion corrections: 0.305 eV per atom
* D(E_F): 6.78 states/eV/cell
* space-group type: P4/mmm, No. 123
* raw total energy: -4.988 eV per atom


# 6
Sc5Si6Ge: relaxed, GGA-PBE.

CIF file:
```
data_Sc5Si6Ge
_chemical_formula_sum 'Sc5 Si6 Ge1'
_space_group_name_H-M_alt 'P 1'
_space_group_IT_number 1
_cell_length_a 7.634
_cell_length_b 7.634
_cell_length_c 5.172
_cell_angle_alpha 101.55
_cell_angle_beta 101.55
_cell_angle_gamma 124.83
loop_
_space_group_symop_operation_xyz
'x,y,z'
loop_
_atom_site_label
_atom_site_type_symbol
_atom_site_fract_x
_atom_site_fract_y
_atom_site_fract_z
Sc1 Sc 0.000 0.000 0.000
Sc2 Sc 0.188 0.812 0.500
Sc3 Sc 0.384 0.616 0.000
Sc4 Sc 0.616 0.384 0.000
Sc5 Sc 0.812 0.188 0.500
Si1 Si 0.005 0.620 0.873
Si2 Si 0.183 0.183 0.610
Si3 Si 0.380 0.995 0.127
Si4 Si 0.620 0.005 0.873
Si5 Si 0.817 0.817 0.390
Si6 Si 0.995 0.380 0.127
Ge1 Ge 0.500 0.500 0.500
```

* formation energy without anion corrections: -0.529 eV per atom
* D(E_F): 6.29 states/eV/cell
* space-group type: C2/m, No. 12
* raw total energy: -6.263 eV per atom


# 7
Sc3Si2Ge: relaxed, GGA-PBE.

CIF file:
```
data_Sc3Si2Ge
_chemical_formula_sum 'Sc12 Si8 Ge4'
_space_group_name_H-M_alt 'P 1'
_space_group_IT_number 1
_cell_length_a 10.958
_cell_length_b 3.901
_cell_length_c 10.600
_cell_angle_alpha 90.00
_cell_angle_beta 90.00
_cell_angle_gamma 90.00
loop_
_space_group_symop_operation_xyz
'x,y,z'
loop_
_atom_site_label
_atom_site_type_symbol
_atom_site_fract_x
_atom_site_fract_y
_atom_site_fract_z
Sc1 Sc 0.048 0.250 0.119
Sc2 Sc 0.120 0.750 0.563
Sc3 Sc 0.210 0.250 0.798
Sc4 Sc 0.290 0.750 0.298
Sc5 Sc 0.380 0.250 0.063
Sc6 Sc 0.452 0.750 0.619
Sc7 Sc 0.548 0.250 0.381
Sc8 Sc 0.620 0.750 0.937
Sc9 Sc 0.710 0.250 0.702
Sc10 Sc 0.790 0.750 0.202
Sc11 Sc 0.880 0.250 0.437
Sc12 Sc 0.952 0.750 0.881
Si1 Si 0.010 0.750 0.303
Si2 Si 0.188 0.750 0.013
Si3 Si 0.312 0.250 0.513
Si4 Si 0.490 0.250 0.803
Si5 Si 0.510 0.750 0.197
Si6 Si 0.688 0.750 0.487
Si7 Si 0.812 0.250 0.987
Si8 Si 0.990 0.250 0.697
Ge1 Ge 0.132 0.250 0.372
Ge2 Ge 0.368 0.750 0.872
Ge3 Ge 0.632 0.250 0.128
Ge4 Ge 0.868 0.750 0.628
```

* formation energy without anion corrections: -0.643 eV per atom
* D(E_F): 17.10 states/eV/cell
* space-group type: Pnma, No. 62
* raw total energy: -6.386 eV per atom


# 8
ScSiGe: relaxed, GGA-PBE.

CIF file:
```
data_ScSiGe
_chemical_formula_sum 'Sc4 Si4 Ge4'
_space_group_name_H-M_alt 'P 1'
_space_group_IT_number 1
_cell_length_a 6.959
_cell_length_b 5.553
_cell_length_c 5.540
_cell_angle_alpha 90.00
_cell_angle_beta 90.00
_cell_angle_gamma 90.00
loop_
_space_group_symop_operation_xyz
'x,y,z'
loop_
_atom_site_label
_atom_site_type_symbol
_atom_site_fract_x
_atom_site_fract_y
_atom_site_fract_z
Sc1 Sc 0.172 0.250 0.123
Sc2 Sc 0.328 0.750 0.623
Sc3 Sc 0.672 0.250 0.377
Sc4 Sc 0.828 0.750 0.877
Si1 Si 0.000 0.000 0.500
Si2 Si 0.000 0.500 0.500
Si3 Si 0.500 0.000 0.000
Si4 Si 0.500 0.500 0.000
Ge1 Ge 0.178 0.750 0.129
Ge2 Ge 0.322 0.250 0.629
Ge3 Ge 0.678 0.750 0.371
Ge4 Ge 0.822 0.250 0.871
```

* formation energy without anion corrections: -0.417 eV per atom
* D(E_F): 3.97 states/eV/cell
* relative energy among the computed polymorphs: 0.41 eV per formula unit
* space-group type: Pnma, No. 62
* raw total energy: -5.874 eV per atom


# 9
ScSiGe3: relaxed, GGA-PBE.

CIF file:
```
data_ScSiGe3
_chemical_formula_sum 'Sc1 Si1 Ge3'
_space_group_name_H-M_alt 'P 1'
_space_group_IT_number 1
_cell_length_a 5.077
_cell_length_b 5.077
_cell_length_c 5.077
_cell_angle_alpha 90.00
_cell_angle_beta 90.00
_cell_angle_gamma 90.00
loop_
_space_group_symop_operation_xyz
'x,y,z'
loop_
_atom_site_label
_atom_site_type_symbol
_atom_site_fract_x
_atom_site_fract_y
_atom_site_fract_z
Sc1 Sc 0.000 0.000 0.000
Si1 Si 0.500 0.500 0.500
Ge1 Ge 0.000 0.000 0.500
Ge2 Ge 0.000 0.500 0.000
Ge3 Ge 0.500 0.000 0.000
```

* formation energy without anion corrections: 0.830 eV per atom
* D(E_F): 2.53 states/eV/cell
* relative energy among the computed polymorphs: 2.05 eV per formula unit
* space-group type: Pm-3m, No. 221
* raw total energy: -4.291 eV per atom


# 10
ScSiGe2: relaxed, GGA-PBE.

CIF file:
```
data_ScSiGe2
_chemical_formula_sum 'Sc1 Si1 Ge2'
_space_group_name_H-M_alt 'P 1'
_space_group_IT_number 1
_cell_length_a 4.128
_cell_length_b 4.128
_cell_length_c 4.130
_cell_angle_alpha 90.00
_cell_angle_beta 90.00
_cell_angle_gamma 90.00
loop_
_space_group_symop_operation_xyz
'x,y,z'
loop_
_atom_site_label
_atom_site_type_symbol
_atom_site_fract_x
_atom_site_fract_y
_atom_site_fract_z
Sc1 Sc 0.000 0.000 0.000
Si1 Si 0.500 0.500 0.000
Ge1 Ge 0.000 0.500 0.500
Ge2 Ge 0.500 0.000 0.500
```

* formation energy without anion corrections: -0.230 eV per atom
* D(E_F): 2.38 states/eV/cell
* space-group type: P4/mmm, No. 123
* raw total energy: -5.478 eV per atom